VASP calculation (PBE) on a relaxed Ce2MgSn9 crystal.

The space group is P4/mmm (No. 123) and the conventional cell measures 4.700, 4.700 and 14.290 Å, with angles of 90.00, 90.00 and 90.00 degrees. The asymmetric unit holds Ce at (0.000, 0.000, 0.161), Mg at (0.000, 0.000, 0.500), Sn at (0.000, 0.500, 0.000), Sn at (0.000, 0.500, 0.338), Sn at (0.500, 0.500, 0.168) and Sn at (0.500, 0.500, 0.500).

As for the formation energy: -0.343 eV/atom. The raw total energy comes out at -4.47 eV/atom. For the total magnetization, the calculation gives 0.11 μB/atom.